Compound: LiSb2W
Source: Alexandria via LeMat-Bulk
Functional: PBE-GGA
Structure: relaxed

Summary:
The crystal system is tetragonal. The raw total energy comes out at -22.8 eV per cell. The calculated volume comes out at 83.7 Å³ per cell. For the uncorrected formation energy, the calculation gives 87.5 meV per atom.

abc: 3.3346 3.3346 7.5303
angles: 90.00 90.00 90.00
Last column: nearest neighbours and their distance in Å.
Fractional coordinates of all 4 atoms:
Li1 0.5000 0.5000 0.7500  8 Sb 3.16, 4 Li 3.33
Sb1 0.0000 0.0000 0.4699  4 W 2.88, 4 Li 3.16
W1 0.5000 0.5000 0.2500  8 Sb 2.88
Sb2 0.0000 0.0000 0.0301  4 W 2.88, 4 Li 3.16